a | La7Tb2Pm | PBE-GGA | optimized geometry

volume	37.43	Å³/atom

Unit cell a=10.5755 b=10.5755 c=3.5461 alpha=90.00 beta=90.00 gamma=109.29
Element x y z (fractional)
La 0.0000 0.0000 0.0000
La 0.1125 0.3746 0.0000
La 0.1797 0.8203 0.5000
La 0.3746 0.1125 0.0000
La 0.6254 0.8875 0.0000
La 0.8203 0.1797 0.5000
La 0.8875 0.6254 0.0000
Tb 0.3334 0.6666 0.0000
Tb 0.6666 0.3334 0.0000
Pm 0.5000 0.5000 0.5000

---

b | La7Tb2Pm | PBE-GGA | optimized geometry

volume	42.58	Å³/atom

Unit cell a=9.3099 b=9.3099 c=5.7851 alpha=90.00 beta=90.00 gamma=121.88
Element x y z (fractional)
La 0.0000 0.0000 0.0000
La 0.2017 0.4324 0.0000
La 0.2624 0.7376 0.5000
La 0.4324 0.2017 0.0000
La 0.5676 0.7983 0.0000
La 0.7376 0.2624 0.5000
La 0.7983 0.5676 0.0000
Tb 0.2033 0.7967 0.0000
Tb 0.7967 0.2033 0.0000
Pm 0.5000 0.5000 0.5000

---

Most stable pick: a. Distance to second place: 0.264 eV/atom.

---

a | La2Tb5Pm12 | PBE-GGA | optimized geometry

volume	34.63	Å³/atom

Unit cell a=9.5842 b=9.5842 c=8.0034 alpha=90.23 beta=90.23 gamma=63.53
Element x y z (fractional)
La 0.2125 0.7875 0.0000
La 0.7875 0.2125 0.0000
Tb 0.0000 0.0000 0.5000
Tb 0.2483 0.2483 0.4903
Tb 0.3535 0.3535 0.9192
Tb 0.6465 0.6465 0.0808
Tb 0.7517 0.7517 0.5097
Pm 0.0375 0.5764 0.2072
Pm 0.1638 0.1638 0.1240
Pm 0.1678 0.6204 0.6106
Pm 0.3796 0.8322 0.3894
Pm 0.4236 0.9625 0.7928
Pm 0.4489 0.4489 0.2895
Pm 0.5511 0.5511 0.7105
Pm 0.5764 0.0375 0.2072
Pm 0.6204 0.1678 0.6106
Pm 0.8322 0.3796 0.3894
Pm 0.8362 0.8362 0.8760
Pm 0.9625 0.4236 0.7928

---

b | La2Tb5Pm12 | PBE-GGA | optimized geometry

volume	34.57	Å³/atom

Unit cell a=9.2260 b=9.2260 c=8.8208 alpha=91.81 beta=91.81 gamma=61.08
Element x y z (fractional)
La 0.1697 0.8303 0.0000
La 0.8303 0.1697 0.0000
Tb 0.2093 0.2093 0.0332
Tb 0.2688 0.2688 0.4315
Tb 0.5000 0.5000 0.5000
Tb 0.7312 0.7312 0.5685
Tb 0.7907 0.7907 0.9668
Pm 0.0614 0.0614 0.3441
Pm 0.0652 0.6749 0.3244
Pm 0.1699 0.5291 0.7594
Pm 0.3251 0.9348 0.6756
Pm 0.4252 0.4252 0.1226
Pm 0.4709 0.8301 0.2406
Pm 0.5291 0.1699 0.7594
Pm 0.5748 0.5748 0.8774
Pm 0.6749 0.0652 0.3244
Pm 0.8301 0.4709 0.2406
Pm 0.9348 0.3251 0.6756
Pm 0.9386 0.9386 0.6559

---

Most stable pick: a. Distance to second place: 0.011 eV/atom.

---

a | LaTb7Pm4 | PBE-GGA | optimized geometry

volume	34.38	Å³/atom

Unit cell a=6.7888 b=6.7888 c=12.8115 alpha=114.86 beta=114.86 gamma=52.25
Element x y z (fractional)
La 0.0000 0.0000 0.0000
Tb 0.0613 0.0613 0.3288
Tb 0.2102 0.2102 0.9224
Tb 0.3673 0.3673 0.4990
Tb 0.5000 0.5000 0.0000
Tb 0.6327 0.6327 0.5010
Tb 0.7898 0.7898 0.0776
Tb 0.9387 0.9387 0.6712
Pm 0.2429 0.2429 0.6787
Pm 0.3674 0.3674 0.2238
Pm 0.6326 0.6326 0.7762
Pm 0.7571 0.7571 0.3213

---

b | LaTb7Pm4 | PBE-GGA | optimized geometry

volume	33.34	Å³/atom

Unit cell a=6.3047 b=7.2726 c=8.9746 alpha=90.02 beta=103.54 gamma=90.01
Element x y z (fractional)
La 0.0000 0.0000 0.0000
Tb 0.0000 0.5000 0.0000
Tb 0.2220 0.9996 0.6666
Tb 0.2783 0.2498 0.3337
Tb 0.4997 0.2497 0.0004
Tb 0.5003 0.7503 0.9996
Tb 0.7217 0.7502 0.6663
Tb 0.7780 0.0004 0.3334
Pm 0.2217 0.4996 0.6678
Pm 0.2786 0.7504 0.3350
Pm 0.7214 0.2496 0.6650
Pm 0.7783 0.5004 0.3322

---

Most stable pick: b. Distance to second place: 0.238 eV/atom.